Material: Sr3MgSb
Method: DFT, PBE
State: relaxed

extended XYZ file:
```
5
Lattice="6.3127 0.0000 0.0000 0.0000 6.3127 0.0000 0.0000 0.0000 6.3127" Properties=species:S:1:pos:R:3 pbc="T T T"
Sr 0.0000 0.0000 3.1563
Sr 0.0000 3.1563 0.0000
Sr 3.1563 0.0000 0.0000
Mg 3.1563 3.1563 3.1563
Sb 0.0000 0.0000 0.0000
```

Calculated values
The calculation puts the magnetization at 0.0000 μB/atom. Its symmetry is Pm-3m. As for the crystal system: cubic. As for the uncorrected formation energy: -1.34 eV/f.u. For the energy above the lowest structure with this stoichiometry, the calculation gives 0 meV per atom.



Material: TiIn2Cl
Method: DFT, PBE
State: relaxed

extended XYZ file:
```
8
Lattice="-4.9320 4.9320 2.3508 4.9320 -4.9320 2.3508 4.9320 4.9320 -2.3508" Properties=species:S:1:pos:R:3 pbc="T T T"
Ti 0.0000 0.0000 0.0000
Ti 0.0000 4.9320 1.1754
In 7.3980 1.4703 -0.5877
In 1.4703 2.4660 0.5877
In -2.4660 3.4617 1.7631
In 3.4617 2.4660 2.9385
Cl 4.9320 0.0000 1.1754
Cl 0.0000 0.0000 2.3508
```

Calculated values
The calculation puts the magnetization at 0.3643 μB/atom. Its symmetry is I-42d. As for the crystal system: tetragonal. As for the uncorrected formation energy: 0.02 eV/f.u. For the energy above the lowest structure with this stoichiometry, the calculation gives 0 meV per atom.



Material: Tl6Cd2Sn
Method: DFT, PBE
State: relaxed

extended XYZ file:
```
18
Lattice="9.2808 -5.5142 0.0000 9.2808 5.5142 0.0000 -0.0484 0.0000 5.2780" Properties=species:S:1:pos:R:3 pbc="T T T"
Tl 7.6936 4.4628 3.9531
Tl 6.0077 3.2499 1.2917
Tl 10.7954 4.4628 3.9640
Tl 7.5244 1.0143 3.9363
Tl 12.5298 3.2499 1.3473
Tl 7.5486 -1.0143 1.2972
Tl 10.9647 1.0143 3.9808
Tl 5.9835 -3.2499 3.9307
Tl 10.9889 -1.0143 1.3418
Tl 7.7178 -4.4628 1.3141
Tl 12.5056 -3.2499 3.9863
Tl 10.8196 -4.4628 1.3249
Cd 4.6943 0.6003 1.3793
Cd 4.6701 -0.6003 4.0183
Cd 13.8432 0.6003 1.2597
Cd 13.8190 -0.6003 3.8987
Sn 9.2687 2.4039 1.3195
Sn 9.2445 -2.4039 3.9585
```

Calculated values
The calculation puts the magnetization at 0.0000 μB/atom. Its symmetry is C2/c. As for the crystal system: monoclinic. For the energy above the lowest structure with this stoichiometry, the calculation gives 38 meV per atom. The formation energy is 0.07 eV per atom.



Material: Ac2HfTh
Method: DFT, PBE
State: relaxed

extended XYZ file:
```
4
Lattice="1.7840 1.0300 12.6437 -1.7840 1.0300 12.6437 0.0000 -2.0600 12.6437" Properties=species:S:1:pos:R:3 pbc="T T T"
Ac 0.0000 0.0000 3.2146
Ac 0.0000 0.0000 34.7166
Hf 0.0000 0.0000 0.0000
Th 0.0000 0.0000 18.9656
```

Calculated values
The calculation puts the magnetization at 0.0003 μB/atom. Its symmetry is R-3m. As for the crystal system: trigonal. The formation energy is 0.58 eV per atom.